Density functional theory data (PBE) for a relaxed structure of Y2W3.

Cell lengths 10.6593, 3.2666, 7.7833 Å; angles 90.00, 129.25, 90.00 degrees
Space group C2/m (No. 12)
One atom of each set of equivalent atoms:
Y: 0.0796 0.0000 0.3932 x4
W: 0.0000 0.5000 0.0000 x2
W: 0.2480 0.0000 0.1296 x4

Total magnetic moment: 0.00 μB/f.u.
Electronic total energy: -9.934 eV per atom
Energy of formation from the pure elements: 424 meV/atom